No. 1
A plane-wave DFT calculation with PBEsol was carried out for crystalline TaCr2Ag at its relaxed geometry.

Its crystal system is monoclinic. Its energy above the most stable polymorph in this dataset is 84 kJ/mol of formula units. For the energy of formation, the calculation gives 539.7 meV per atom. Its volume is 14.22 Å³ per atom.

Cell lengths 5.365, 8.687, 2.591 Å; angles 90.00, 109.54, 90.00 degrees
Space group C2/m (No. 12)
Unique sites:
1 Ta 0.000 0.000 0.000 x2
2 Cr 0.250 0.250 0.500 x4
3 Ag 0.000 0.500 0.000 x2

No. 2
A plane-wave DFT calculation with PBEsol was carried out for crystalline LiMg3 at its relaxed geometry.

Its crystal system is orthorhombic. For the energy of formation, the calculation gives -17.8 meV per atom. Its volume is 21.30 Å³ per atom.

Cell lengths 6.419, 8.273, 3.209 Å; angles 90.00, 90.00, 90.00 degrees
Space group Cmmm (No. 65)
Unique sites:
1 Li 0.000 0.000 0.000 x2
2 Mg 0.000 0.500 0.000 x2
3 Mg 0.250 0.250 0.500 x4

No. 3
A plane-wave DFT calculation with PBEsol was carried out for crystalline FeTcSbN2 at its relaxed geometry.

Its crystal system is tetragonal. Its volume is 13.78 Å³ per atom. As for the energy relative to the elements, uncorrected: 0.98 eV/atom.

Cell lengths 3.577, 3.577, 5.386 Å; angles 90.00, 90.00, 90.00 degrees
Space group P4/mmm (No. 123)
Unique sites:
1 Fe 0.000 0.000 0.000 x1
2 Tc 0.000 0.000 0.500 x1
3 Sb 0.500 0.500 0.500 x1
4 N 0.000 0.500 0.000 x2

No. 4
A plane-wave DFT calculation with PBEsol was carried out for crystalline NaLi3N at its relaxed geometry.

Its crystal system is cubic. Its volume is 13.75 Å³ per atom. As for the energy relative to the elements, uncorrected: -0.15 eV/atom.

Cell lengths 4.097, 4.097, 4.097 Å; angles 90.00, 90.00, 90.00 degrees
Space group Pm-3m (No. 221)
Unique sites:
1 Na 0.000 0.000 0.000 x1
2 Li 0.000 0.500 0.500 x3
3 N 0.500 0.500 0.500 x1

No. 5
A plane-wave DFT calculation with PBEsol was carried out for crystalline YFe2W at its relaxed geometry.

Its crystal system is tetragonal. Its energy above the most stable polymorph in this dataset is 0 kJ/mol of formula units. For the energy of formation, the calculation gives 314.7 meV per atom. Its volume is 15.72 Å³ per atom.

Cell lengths 3.014, 3.014, 6.924 Å; angles 90.00, 90.00, 90.00 degrees
Space group P4mm (No. 99)
Unique sites:
1 Y 0.000 0.000 0.000 x1
2 Fe 0.000 0.000 0.478 x1
3 Fe 0.500 0.500 0.298 x1
4 W 0.500 0.500 0.674 x1

No. 6
A plane-wave DFT calculation with PBEsol was carried out for crystalline CaOs2Ru at its relaxed geometry.

Its crystal system is orthorhombic. Its energy above the most stable polymorph in this dataset is 76 kJ/mol of formula units. For the energy of formation, the calculation gives 682.4 meV per atom. Its volume is 15.41 Å³ per atom.

Cell lengths 5.542, 8.392, 2.651 Å; angles 90.00, 90.00, 90.00 degrees
Space group Cmmm (No. 65)
Unique sites:
1 Ca 0.000 0.000 0.000 x2
2 Os 0.250 0.250 0.500 x4
3 Ru 0.000 0.500 0.000 x2

No. 7
A plane-wave DFT calculation with PBEsol was carried out for crystalline MgSc3 at its relaxed geometry.

Its crystal system is orthorhombic. Its energy above the most stable polymorph in this dataset is 16 kJ/mol of formula units. For the energy of formation, the calculation gives 35.7 meV per atom. Its volume is 23.31 Å³ per atom.

Cell lengths 5.173, 6.461, 5.581 Å; angles 90.00, 90.00, 90.00 degrees
Space group Pmmn (No. 59, origin choice 2)
Unique sites:
1 Mg 0.250 0.250 0.171 x2
2 Sc 0.250 0.504 0.665 x4
3 Sc 0.250 0.750 0.157 x2

No. 8
A plane-wave DFT calculation with PBEsol was carried out for crystalline Zn2Ga2Bi at its relaxed geometry.

Its crystal system is tetragonal. Its energy above the most stable polymorph in this dataset is 0 kJ/mol of formula units. For the energy of formation, the calculation gives 78.7 meV per atom. Its volume is 19.18 Å³ per atom.

Cell lengths 4.095, 4.095, 11.440 Å; angles 90.00, 90.00, 90.00 degrees
Space group I4/mmm (No. 139)
Unique sites:
1 Zn 0.000 0.500 0.250 x4
2 Ga 0.000 0.000 0.110 x4
3 Bi 0.000 0.000 0.500 x2

No. 9
A plane-wave DFT calculation with PBEsol was carried out for crystalline VCoO4 at its relaxed geometry.

Its crystal system is orthorhombic. Its volume is 10.52 Å³ per atom. As for the energy relative to the elements, uncorrected: -1.73 eV/atom.

Cell lengths 5.402, 8.140, 5.742 Å; angles 90.00, 90.00, 90.00 degrees
Space group Cmcm (No. 63)
Unique sites:
1 V 0.000 0.148 0.250 x4
2 Co 0.000 0.500 0.000 x4
3 O 0.000 0.275 0.024 x8
4 O 0.228 0.484 0.750 x8

No. 10
A plane-wave DFT calculation with PBEsol was carried out for crystalline LiZn2Br at its relaxed geometry.

Its crystal system is tetragonal. Its energy above the most stable polymorph in this dataset is 0 kJ/mol of formula units. Its volume is 20.33 Å³ per atom. As for the energy relative to the elements, uncorrected: -0.39 eV/atom.

Cell lengths 3.602, 3.602, 6.269 Å; angles 90.00, 90.00, 90.00 degrees
Space group P4/mmm (No. 123)
Unique sites:
1 Li 0.000 0.000 0.000 x1
2 Zn 0.000 0.500 0.500 x2
3 Br 0.500 0.500 0.000 x1

No. 11
A plane-wave DFT calculation with PBEsol was carried out for crystalline NaHS at its relaxed geometry.

Its crystal system is trigonal. The value obtained for the total energy is -3.712 eV per atom. Its volume is 16.36 Å³ per atom.

Cell lengths 4.4048, 4.4048, 8.7622 Å; angles 90.00, 90.00, 120.00 degrees
Space group R3m (No. 160, hexagonal axes)
Unique sites:
1 Na 0.0000 0.0000 0.0000 x3
2 H 0.0000 0.0000 0.6464 x3
3 S 0.0000 0.0000 0.4910 x3

No. 12
A plane-wave DFT calculation with PBEsol was carried out for crystalline HfZnPdS2 at its relaxed geometry.

Its crystal system is tetragonal. Its volume is 23.57 Å³ per atom. As for the energy relative to the elements, uncorrected: 0.17 eV/atom.

Cell lengths 4.762, 4.762, 5.198 Å; angles 90.00, 90.00, 90.00 degrees
Space group P4/mmm (No. 123)
Unique sites:
1 Hf 0.000 0.000 0.000 x1
2 Zn 0.000 0.000 0.500 x1
3 Pd 0.500 0.500 0.500 x1
4 S 0.000 0.500 0.000 x2